VASP calculation (GGA+U) on a geometry-optimized NiMoIrO6 structure.

Results
- Raw total energy: -6.46 eV per atom
- Total magnetization: 1.0 μB/f.u.

Lattice parameters (Å, degrees): 5.0453 5.0453 8.7627 90.00 90.00 120.00
Element x y z (fractional)
1 Ni 0.3333 0.6667 0.2500
2 Ni 0.6667 0.3333 0.7500
3 Mo 0.0000 0.0000 0.0000
4 Mo 0.0000 0.0000 0.5000
5 Ir 0.3333 0.6667 0.7500
6 Ir 0.6667 0.3333 0.2500
7 O 0.0099 0.3310 0.6248
8 O 0.0099 0.6789 0.8752
9 O 0.3211 0.3310 0.8752
10 O 0.3211 0.9901 0.6248
11 O 0.3310 0.0099 0.1248
12 O 0.3310 0.3211 0.3752
13 O 0.6690 0.6789 0.6248
14 O 0.6690 0.9901 0.8752
15 O 0.6789 0.0099 0.3752
16 O 0.6789 0.6690 0.1248
17 O 0.9901 0.3211 0.1248
18 O 0.9901 0.6690 0.3752